[1]
Entry from Alexandria via LeMat-Bulk: a crystal of Li3CuO relaxed with PBEsol (meta-GGA SCAN).

a = 3.855 Å, b = 3.855 Å, c = 3.855 Å
α = 90.00°, β = 90.00°, γ = 90.00°
Fractional coordinates of all 5 atoms:
Li (0.000, 0.000, 0.500)
Li (0.000, 0.500, 0.000)
Li (0.500, 0.000, 0.000)
Cu (0.500, 0.500, 0.500)
O (0.000, 0.000, 0.000)

Computed properties:
The calculated density is 2.91 g cm⁻³. The space group is No. 221. Its magnetic moment is 0.000 μB per cell. Its formation energy from raw total energies is -941.8 meV/atom. The raw total energy comes out at -6.6618 eV/atom.

[2]
Entry from Alexandria via LeMat-Bulk: a crystal of Li3Cu2P5O16 relaxed with PBEsol (meta-GGA SCAN).

a = 5.029 Å, b = 6.884 Å, c = 17.367 Å
α = 90.00°, β = 91.11°, γ = 90.00°
Fractional coordinates of all 52 atoms:
Li (0.000, 0.020, 0.250)
Li (0.000, 0.980, 0.750)
Li (0.228, 0.323, 0.963)
Li (0.228, 0.677, 0.463)
Li (0.772, 0.323, 0.537)
Li (0.772, 0.677, 0.037)
Cu (0.242, 0.170, 0.412)
Cu (0.242, 0.830, 0.912)
Cu (0.758, 0.170, 0.088)
Cu (0.758, 0.830, 0.588)
P (0.223, 0.462, 0.123)
P (0.223, 0.538, 0.623)
P (0.284, 0.125, 0.589)
P (0.284, 0.875, 0.089)
P (0.500, 0.240, 0.250)
P (0.500, 0.760, 0.750)
P (0.716, 0.125, 0.911)
P (0.716, 0.875, 0.411)
P (0.777, 0.462, 0.377)
P (0.777, 0.538, 0.877)
O (0.075, 0.443, 0.390)
O (0.075, 0.557, 0.890)
O (0.126, 0.195, 0.517)
O (0.126, 0.805, 0.017)
O (0.142, 0.021, 0.138)
O (0.142, 0.979, 0.638)
O (0.294, 0.319, 0.644)
O (0.294, 0.681, 0.144)
O (0.299, 0.381, 0.207)
O (0.299, 0.619, 0.707)
O (0.326, 0.127, 0.303)
O (0.326, 0.873, 0.803)
O (0.396, 0.379, 0.062)
O (0.396, 0.621, 0.562)
O (0.423, 0.086, 0.929)
O (0.423, 0.914, 0.429)
O (0.577, 0.086, 0.571)
O (0.577, 0.914, 0.071)
O (0.604, 0.379, 0.438)
O (0.604, 0.621, 0.938)
O (0.674, 0.127, 0.197)
O (0.674, 0.873, 0.697)
O (0.701, 0.381, 0.293)
O (0.701, 0.619, 0.793)
O (0.706, 0.319, 0.856)
O (0.706, 0.681, 0.356)
O (0.858, 0.021, 0.362)
O (0.858, 0.979, 0.862)
O (0.874, 0.195, 0.983)
O (0.874, 0.805, 0.483)
O (0.925, 0.443, 0.110)
O (0.925, 0.557, 0.610)

Computed properties:
The calculated density is 3.09 g cm⁻³. The space group is No. 13. Its magnetic moment is 4.000 μB per cell. Its formation energy from raw total energies is -2225.9 meV/atom. The raw total energy comes out at -9.5052 eV/atom.

[3]
Entry from Alexandria via LeMat-Bulk: a crystal of Li4CuP6O18 relaxed with PBEsol (meta-GGA SCAN).

a = 7.003 Å, b = 7.500 Å, c = 7.655 Å
α = 115.35°, β = 108.84°, γ = 98.56°
Fractional coordinates of all 29 atoms:
Li (0.000, 0.000, 0.000)
Li (0.094, 0.382, 0.412)
Li (0.284, 0.610, 0.899)
Li (0.890, 0.695, 0.568)
Cu (0.690, 0.470, 0.067)
P (0.163, 0.776, 0.307)
P (0.284, 0.091, 0.741)
P (0.473, 0.295, 0.299)
P (0.491, 0.783, 0.656)
P (0.696, 0.993, 0.242)
P (0.796, 0.328, 0.658)
O (0.113, 0.984, 0.773)
O (0.142, 0.773, 0.107)
O (0.203, 0.012, 0.489)
O (0.243, 0.273, 0.227)
O (0.338, 0.632, 0.668)
O (0.379, 0.328, 0.864)
O (0.385, 0.744, 0.414)
O (0.489, 0.017, 0.791)
O (0.493, 0.070, 0.175)
O (0.569, 0.345, 0.542)
O (0.607, 0.760, 0.127)
O (0.628, 0.456, 0.295)
O (0.720, 0.800, 0.721)
O (0.762, 0.087, 0.497)
O (0.811, 0.351, 0.866)
O (0.873, 0.099, 0.214)
O (0.971, 0.467, 0.654)
O (0.985, 0.626, 0.304)

Computed properties:
The calculated density is 2.90 g cm⁻³. The space group is No. 1. Its magnetic moment is 1.000 μB per cell. Its formation energy from raw total energies is -2345.8 meV/atom. The raw total energy comes out at -9.2186 eV/atom.

[4]
Entry from Alexandria via LeMat-Bulk: a crystal of Li2CuP4O12 relaxed with PBEsol (meta-GGA SCAN).

a = 5.188 Å, b = 6.902 Å, c = 7.051 Å
α = 107.89°, β = 94.90°, γ = 106.59°
Fractional coordinates of all 19 atoms:
Li (0.157, 0.223, 0.069)
Li (0.843, 0.777, 0.931)
Cu (0.500, 0.500, 0.500)
P (0.169, 0.709, 0.292)
P (0.365, 0.923, 0.729)
P (0.635, 0.077, 0.271)
P (0.831, 0.291, 0.708)
O (0.081, 0.321, 0.845)
O (0.169, 0.862, 0.516)
O (0.199, 0.939, 0.891)
O (0.220, 0.507, 0.309)
O (0.443, 0.838, 0.235)
O (0.463, 0.226, 0.299)
O (0.537, 0.774, 0.701)
O (0.557, 0.162, 0.765)
O (0.780, 0.493, 0.691)
O (0.801, 0.061, 0.109)
O (0.831, 0.138, 0.484)
O (0.919, 0.679, 0.155)

Computed properties:
The calculated density is 2.89 g cm⁻³. The space group is No. 2. Its magnetic moment is 1.000 μB per cell. Its formation energy from raw total energies is -2298.2 meV/atom. The raw total energy comes out at -9.4744 eV/atom.

[5]
Entry from Alexandria via LeMat-Bulk: a crystal of Li3Cu3P2O8 relaxed with PBEsol (meta-GGA SCAN).

a = 5.032 Å, b = 5.259 Å, c = 6.182 Å
α = 88.05°, β = 88.96°, γ = 89.85°
Fractional coordinates of all 16 atoms:
Li (0.000, 0.000, 0.000)
Li (0.013, 0.998, 0.504)
Li (0.497, 0.647, 0.996)
Cu (0.023, 0.531, 0.746)
Cu (0.480, 0.680, 0.482)
Cu (0.502, 0.102, 0.259)
P (0.503, 0.154, 0.757)
P (0.989, 0.489, 0.241)
O (0.083, 0.635, 0.442)
O (0.093, 0.212, 0.246)
O (0.103, 0.639, 0.038)
O (0.196, 0.136, 0.749)
O (0.597, 0.433, 0.757)
O (0.608, 0.004, 0.961)
O (0.632, 0.023, 0.557)
O (0.681, 0.492, 0.239)

Computed properties:
The calculated density is 4.08 g cm⁻³. The space group is No. 1. Its magnetic moment is 0.005 μB per cell. Its formation energy from raw total energies is -1932.7 meV/atom. The raw total energy comes out at -9.6461 eV/atom.

[6]
Entry from Alexandria via LeMat-Bulk: a crystal of Li5CuP2O8 relaxed with PBEsol (meta-GGA SCAN).

a = 4.915 Å, b = 6.115 Å, c = 5.228 Å
α = 90.00°, β = 90.31°, γ = 90.00°
Fractional coordinates of all 16 atoms:
Li (0.000, 0.000, 0.000)
Li (0.000, 0.254, 0.486)
Li (0.000, 0.746, 0.486)
Li (0.497, 0.251, 0.834)
Li (0.497, 0.749, 0.834)
Cu (0.497, 0.500, 0.347)
P (0.493, 0.000, 0.331)
P (0.994, 0.500, 0.979)
O (0.084, 0.500, 0.265)
O (0.102, 0.291, 0.845)
O (0.102, 0.709, 0.845)
O (0.178, 0.000, 0.339)
O (0.596, 0.000, 0.052)
O (0.604, 0.204, 0.478)
O (0.604, 0.796, 0.478)
O (0.679, 0.500, 0.966)

Computed properties:
The calculated density is 3.05 g cm⁻³. The space group is No. 6. Its magnetic moment is 0.045 μB per cell. Its formation energy from raw total energies is -2405.9 meV/atom. The raw total energy comes out at -8.5181 eV/atom.

[7]
Entry from Alexandria via LeMat-Bulk: a crystal of Li3Cu3P2O8 relaxed with PBEsol (meta-GGA SCAN).

a = 5.052 Å, b = 6.186 Å, c = 5.265 Å
α = 90.00°, β = 90.55°, γ = 90.00°
Fractional coordinates of all 16 atoms:
Li (0.000, 0.000, 0.000)
Li (0.018, 0.251, 0.488)
Li (0.018, 0.749, 0.488)
Cu (0.480, 0.287, 0.798)
Cu (0.480, 0.713, 0.798)
Cu (0.511, 0.500, 0.389)
P (0.509, 0.000, 0.315)
P (0.999, 0.500, 0.999)
O (0.085, 0.292, 0.854)
O (0.085, 0.708, 0.854)
O (0.109, 0.500, 0.274)
O (0.204, 0.000, 0.336)
O (0.603, 0.000, 0.037)
O (0.634, 0.199, 0.457)
O (0.634, 0.801, 0.457)
O (0.692, 0.500, 0.016)

Computed properties:
The calculated density is 4.05 g cm⁻³. The space group is No. 6. Its magnetic moment is 0.001 μB per cell. Its formation energy from raw total energies is -1934.2 meV/atom. The raw total energy comes out at -9.6476 eV/atom.

[8]
Entry from Alexandria via LeMat-Bulk: a crystal of LiCuP4O12 relaxed with PBEsol (meta-GGA SCAN).

a = 9.012 Å, b = 9.288 Å, c = 10.011 Å
α = 90.00°, β = 90.00°, γ = 90.00°
Fractional coordinates of all 72 atoms:
Li (0.134, 0.249, 0.144)
Li (0.366, 0.751, 0.644)
Li (0.634, 0.251, 0.856)
Li (0.866, 0.749, 0.356)
Cu (0.006, 0.767, 0.705)
Cu (0.494, 0.233, 0.205)
Cu (0.506, 0.733, 0.295)
Cu (0.994, 0.267, 0.795)
P (0.001, 0.985, 0.988)
P (0.002, 0.570, 0.113)
P (0.195, 0.547, 0.882)
P (0.202, 0.040, 0.611)
P (0.298, 0.960, 0.111)
P (0.305, 0.453, 0.382)
P (0.498, 0.430, 0.613)
P (0.499, 0.015, 0.488)
P (0.501, 0.515, 0.012)
P (0.502, 0.930, 0.887)
P (0.695, 0.953, 0.118)
P (0.702, 0.460, 0.389)
P (0.798, 0.540, 0.889)
P (0.805, 0.047, 0.618)
P (0.998, 0.070, 0.387)
P (0.999, 0.485, 0.512)
O (0.002, 0.169, 0.272)
O (0.004, 0.886, 0.872)
O (0.011, 0.146, 0.968)
O (0.025, 0.413, 0.131)
O (0.122, 0.629, 0.005)
O (0.124, 0.940, 0.096)
O (0.136, 0.447, 0.418)
O (0.146, 0.133, 0.722)
O (0.149, 0.391, 0.874)
O (0.151, 0.097, 0.469)
O (0.175, 0.641, 0.759)
O (0.175, 0.879, 0.624)
O (0.325, 0.121, 0.124)
O (0.325, 0.359, 0.259)
O (0.349, 0.903, 0.969)
O (0.351, 0.609, 0.374)
O (0.354, 0.867, 0.222)
O (0.364, 0.553, 0.918)
O (0.376, 0.060, 0.596)
O (0.378, 0.371, 0.505)
O (0.475, 0.587, 0.631)
O (0.489, 0.854, 0.468)
O (0.496, 0.114, 0.372)
O (0.498, 0.831, 0.772)
O (0.502, 0.331, 0.728)
O (0.504, 0.614, 0.128)
O (0.511, 0.354, 0.032)
O (0.525, 0.087, 0.869)
O (0.622, 0.871, 0.995)
O (0.624, 0.560, 0.904)
O (0.636, 0.053, 0.582)
O (0.646, 0.367, 0.278)
O (0.649, 0.109, 0.126)
O (0.651, 0.403, 0.531)
O (0.675, 0.621, 0.376)
O (0.675, 0.859, 0.241)
O (0.825, 0.141, 0.741)
O (0.825, 0.379, 0.876)
O (0.849, 0.597, 0.031)
O (0.851, 0.891, 0.626)
O (0.854, 0.633, 0.778)
O (0.864, 0.947, 0.082)
O (0.876, 0.440, 0.404)
O (0.878, 0.129, 0.495)
O (0.975, 0.913, 0.369)
O (0.989, 0.646, 0.532)
O (0.996, 0.386, 0.628)
O (0.998, 0.669, 0.228)

Computed properties:
The calculated density is 3.06 g cm⁻³. The space group is No. 19. Its magnetic moment is 8.093 μB per cell. Its formation energy from raw total energies is -2104.5 meV/atom. The raw total energy comes out at -9.5467 eV/atom.

[9]
Entry from Alexandria via LeMat-Bulk: a crystal of Li2Cu3P4O14 relaxed with PBEsol (meta-GGA SCAN).

a = 7.161 Å, b = 8.075 Å, c = 9.083 Å
α = 90.00°, β = 106.75°, γ = 90.00°
Fractional coordinates of all 46 atoms:
Li (0.199, 0.090, 0.118)
Li (0.199, 0.410, 0.618)
Li (0.801, 0.590, 0.382)
Li (0.801, 0.910, 0.882)
Cu (0.309, 0.121, 0.485)
Cu (0.309, 0.379, 0.985)
Cu (0.500, 0.000, 0.000)
Cu (0.500, 0.500, 0.500)
Cu (0.691, 0.621, 0.015)
Cu (0.691, 0.879, 0.515)
P (0.092, 0.022, 0.723)
P (0.092, 0.478, 0.223)
P (0.400, 0.715, 0.202)
P (0.400, 0.785, 0.702)
P (0.600, 0.215, 0.298)
P (0.600, 0.285, 0.798)
P (0.908, 0.522, 0.777)
P (0.908, 0.978, 0.277)
O (0.124, 0.022, 0.305)
O (0.124, 0.478, 0.805)
O (0.130, 0.146, 0.607)
O (0.130, 0.354, 0.107)
O (0.183, 0.073, 0.889)
O (0.183, 0.427, 0.389)
O (0.186, 0.654, 0.195)
O (0.186, 0.846, 0.695)
O (0.379, 0.610, 0.638)
O (0.379, 0.890, 0.138)
O (0.480, 0.208, 0.125)
O (0.480, 0.292, 0.625)
O (0.482, 0.593, 0.109)
O (0.482, 0.907, 0.609)
O (0.518, 0.093, 0.391)
O (0.518, 0.407, 0.891)
O (0.520, 0.708, 0.375)
O (0.520, 0.792, 0.875)
O (0.621, 0.110, 0.862)
O (0.621, 0.390, 0.362)
O (0.814, 0.154, 0.305)
O (0.814, 0.346, 0.805)
O (0.817, 0.573, 0.611)
O (0.817, 0.927, 0.111)
O (0.870, 0.646, 0.893)
O (0.870, 0.854, 0.393)
O (0.876, 0.522, 0.195)
O (0.876, 0.978, 0.695)

Computed properties:
The calculated density is 3.65 g cm⁻³. The space group is No. 14. Its magnetic moment is 6.003 μB per cell. Its formation energy from raw total energies is -2079.7 meV/atom. The raw total energy comes out at -9.8714 eV/atom.

[10]
Entry from Alexandria via LeMat-Bulk: a crystal of Li5CuP2O8 relaxed with PBEsol (meta-GGA SCAN).

a = 5.221 Å, b = 6.135 Å, c = 9.823 Å
α = 89.92°, β = 89.65°, γ = 89.26°
Fractional coordinates of all 32 atoms:
Li (0.000, 0.000, 0.000)
Li (0.000, 0.489, 0.997)
Li (0.342, 0.502, 0.248)
Li (0.344, 0.002, 0.246)
Li (0.347, 0.996, 0.756)
Li (0.349, 0.507, 0.751)
Li (0.510, 0.747, 0.003)
Li (0.828, 0.251, 0.248)
Li (0.836, 0.247, 0.748)
Li (0.997, 0.507, 0.497)
Cu (0.022, 0.967, 0.485)
Cu (0.458, 0.764, 0.496)
P (0.499, 0.249, 0.996)
P (0.505, 0.260, 0.497)
P (0.844, 0.746, 0.237)
P (0.846, 0.747, 0.753)
O (0.355, 0.465, 0.550)
O (0.357, 0.457, 0.050)
O (0.359, 0.043, 0.048)
O (0.368, 0.060, 0.562)
O (0.491, 0.250, 0.340)
O (0.496, 0.251, 0.838)
O (0.559, 0.751, 0.284)
O (0.566, 0.748, 0.807)
O (0.780, 0.247, 0.047)
O (0.785, 0.262, 0.546)
O (0.840, 0.745, 0.595)
O (0.855, 0.743, 0.080)
O (0.981, 0.541, 0.295)
O (0.981, 0.959, 0.283)
O (0.987, 0.954, 0.803)
O (0.989, 0.537, 0.802)

Computed properties:
The calculated density is 3.04 g cm⁻³. The space group is No. 1. Its magnetic moment is 0.031 μB per cell. Its formation energy from raw total energies is -2406.7 meV/atom. The raw total energy comes out at -8.5189 eV/atom.

[11]
Entry from Alexandria via LeMat-Bulk: a crystal of Li3CuP2O8 relaxed with PBEsol (meta-GGA SCAN).

a = 6.707 Å, b = 4.884 Å, c = 9.904 Å
α = 90.00°, β = 90.12°, γ = 90.00°
Fractional coordinates of all 28 atoms:
Li (0.000, 0.066, 0.000)
Li (0.000, 0.934, 0.500)
Li (0.502, 0.072, 0.997)
Li (0.502, 0.928, 0.497)
Li (0.506, 0.429, 0.315)
Li (0.506, 0.571, 0.815)
Cu (0.008, 0.435, 0.305)
Cu (0.008, 0.565, 0.805)
P (0.256, 0.415, 0.558)
P (0.256, 0.585, 0.058)
P (0.746, 0.063, 0.742)
P (0.746, 0.937, 0.242)
O (0.067, 0.456, 0.990)
O (0.067, 0.544, 0.490)
O (0.245, 0.495, 0.713)
O (0.245, 0.505, 0.213)
O (0.249, 0.106, 0.543)
O (0.249, 0.894, 0.043)
O (0.445, 0.460, 0.000)
O (0.445, 0.540, 0.500)
O (0.558, 0.040, 0.311)
O (0.558, 0.960, 0.811)
O (0.754, 0.001, 0.092)
O (0.754, 0.999, 0.592)
O (0.763, 0.381, 0.767)
O (0.763, 0.619, 0.267)
O (0.936, 0.060, 0.315)
O (0.936, 0.940, 0.815)

Computed properties:
The calculated density is 2.81 g cm⁻³. The space group is No. 7. Its magnetic moment is 4.103 μB per cell. Its formation energy from raw total energies is -2161.0 meV/atom. The raw total energy comes out at -8.8050 eV/atom.